Here is crystalline Li4Pm3VO8 at its relaxed geometry from Alexandria. Energies are from GGA+U.

total energy = -6.775 eV per atom
V = 204.7 Å³/f.u.
symmetry = No. 12

Cell lengths 6.369, 6.369, 6.696 Å; angles 118.18, 118.18, 65.68 degrees
Sites, in units of the cell vectors:
Li (0.000, 0.000, 0.000)
Li (0.000, 0.500, 0.500)
Li (0.500, 0.000, 0.500)
Li (0.500, 0.500, 0.000)
Pm (0.000, 0.000, 0.500)
Pm (0.000, 0.500, 0.000)
Pm (0.500, 0.000, 0.000)
V (0.500, 0.500, 0.500)
O (0.241, 0.241, 0.232)
O (0.258, 0.258, 0.775)
O (0.265, 0.714, 0.703)
O (0.286, 0.735, 0.297)
O (0.714, 0.265, 0.703)
O (0.735, 0.286, 0.297)
O (0.742, 0.742, 0.225)
O (0.759, 0.759, 0.768)